1.
Below is a relaxed PuMgPd6 crystal, with properties calculated at the PBE level.

Unit cell a=4.0955 b=4.0955 c=7.9800 alpha=90.00 beta=90.00 gamma=90.00
Closest atoms and distances in Å follow each position.
Fractional positions:
1 Pu 0.0000 0.0000 0.0000  12 Pd 2.90
2 Mg 0.0000 0.0000 0.5000  12 Pd 2.82-2.90
3 Pd 0.0000 0.5000 0.2570  8 Pd 2.82-2.90, 2 Mg 2.82, 2 Pu 2.90
4 Pd 0.0000 0.5000 0.7430  8 Pd 2.82-2.90, 2 Mg 2.82, 2 Pu 2.90
5 Pd 0.5000 0.0000 0.2570  8 Pd 2.82-2.90, 2 Mg 2.82, 2 Pu 2.90
6 Pd 0.5000 0.0000 0.7430  8 Pd 2.82-2.90, 2 Mg 2.82, 2 Pu 2.90
7 Pd 0.5000 0.5000 0.0000  4 Pu 2.90, 8 Pd 2.90
8 Pd 0.5000 0.5000 0.5000  8 Pd 2.82, 4 Mg 2.90

Output
Its space group is P4/mmm, No. 123. Its formation energy is -402 kJ/mol of formula units.

2.
Below is a relaxed NbHg2OF crystal, with properties calculated at the PBE level.

Unit cell a=5.4625 b=5.4625 c=4.0430 alpha=90.00 beta=90.00 gamma=90.00
Closest atoms and distances in Å follow each position.
Fractional positions:
1 Nb 0.0000 0.0000 0.0000  2 F 2.02
2 Hg 0.0000 0.5000 0.0000  2 Nb 2.73
3 Hg 0.5000 0.0000 0.0000  2 Nb 2.73
4 O 0.5000 0.5000 0.5000  8 Hg 3.40
5 F 0.0000 0.0000 0.5000  2 Nb 2.02

Output
Its space group is P4/mmm, No. 123. Its uncorrected formation energy is 22.0 kJ/mol of atoms.

3.
Below is a relaxed K2Hg4Pt crystal, with properties calculated at the PBE level.

Unit cell a=8.2112 b=8.2112 c=5.3410 alpha=90.00 beta=90.00 gamma=141.83
Closest atoms and distances in Å follow each position.
Fractional positions:
1 K 0.1485 0.8515 0.0000  10 Hg 3.53-3.82
2 K 0.8515 0.1485 0.0000  10 Hg 3.53-3.82
3 Hg 0.0000 0.0000 0.5000  2 Pt 2.69
4 Hg 0.3186 0.6814 0.5000  1 Pt 2.82
5 Hg 0.5000 0.5000 0.0000  2 Pt 2.67
6 Hg 0.6814 0.3186 0.5000  1 Pt 2.82
7 Pt 0.5000 0.5000 0.5000  6 Hg 2.67-2.82

Output
Its space group is Cmmm, No. 65. Its formation energy is -166 kJ/mol of formula units. As for the energy relative to the lowest polymorph listed for this composition: 0.0000 eV per atom.

4.
Below is a relaxed LaTbAu2 crystal, with properties calculated at the PBE level.

Unit cell a=4.7874 b=5.9676 c=5.9676 alpha=37.86 beta=90.00 gamma=90.00
Closest atoms and distances in Å follow each position.
Fractional positions:
1 La 0.0000 0.0000 0.0000  7 Au 3.08-3.21
2 Tb 0.5000 0.2747 0.2747  7 Au 3.12-3.18
3 Au 0.0000 0.7271 0.7271  3 La 3.08-3.21, 2 Au 3.11, 4 Tb 3.13
4 Au 0.5000 0.5514 0.5514  2 Au 3.11, 3 Tb 3.12-3.18, 4 La 3.13

Output
Its space group is Amm2, No. 38. Its formation energy is -322 kJ/mol of formula units.

5.
Below is a relaxed Tb12Cd6Ni crystal, with properties calculated at the PBE level.

Unit cell a=8.2506 b=8.2506 c=8.2506 alpha=94.43 beta=94.43 gamma=94.43
Closest atoms and distances in Å follow each position.
Fractional positions:
1 Tb 0.0401 0.7027 0.9295  4 Cd 3.10-3.29
2 Tb 0.0705 0.9599 0.2973  4 Cd 3.10-3.29
3 Tb 0.1868 0.5223 0.4047  1 Ni 2.67
4 Tb 0.2973 0.0705 0.9599  4 Cd 3.10-3.29
5 Tb 0.4047 0.1868 0.5223  1 Ni 2.67
6 Tb 0.4777 0.5953 0.8132  1 Ni 2.67
7 Tb 0.5223 0.4047 0.1868  1 Ni 2.67
8 Tb 0.5953 0.8132 0.4777  1 Ni 2.67
9 Tb 0.7027 0.9295 0.0401  4 Cd 3.10-3.29
10 Tb 0.8132 0.4777 0.5953  1 Ni 2.67
11 Tb 0.9295 0.0401 0.7027  4 Cd 3.10-3.29
12 Tb 0.9599 0.2973 0.0705  4 Cd 3.10-3.29
13 Cd 0.1559 0.3612 0.7604  8 Tb 3.10-3.33
14 Cd 0.2396 0.8441 0.6388  8 Tb 3.10-3.33
15 Cd 0.3612 0.7604 0.1559  8 Tb 3.10-3.33
16 Cd 0.6388 0.2396 0.8441  8 Tb 3.10-3.33
17 Cd 0.7604 0.1559 0.3612  8 Tb 3.10-3.33
18 Cd 0.8441 0.6388 0.2396  8 Tb 3.10-3.33
19 Ni 0.5000 0.5000 0.5000  6 Tb 2.67

Output
Its space group is R-3, No. 148. Its formation energy is -172 kJ/mol of formula units.

6.
Below is a relaxed NdI4O12 crystal, with properties calculated at the PBE level.

Unit cell a=7.0141 b=7.0141 c=7.0141 alpha=109.47 beta=109.47 gamma=109.47
Closest atoms and distances in Å follow each position.
Fractional positions:
1 Nd 0.0000 0.0000 0.0000  12 O 2.69
2 I 0.0000 0.0000 0.5000  6 O 2.06
3 I 0.0000 0.5000 0.0000  6 O 2.06
4 I 0.5000 0.0000 0.0000  6 O 2.06
5 I 0.5000 0.5000 0.5000  6 O 2.06
6 O 0.0561 0.7950 0.2610  2 I 2.06
7 O 0.2050 0.2610 0.4660  2 I 2.06
8 O 0.2050 0.7390 0.9439  2 I 2.06
9 O 0.2610 0.0561 0.7950  2 I 2.06
10 O 0.2610 0.4660 0.2050  2 I 2.06
11 O 0.4660 0.2050 0.2610  2 I 2.06
12 O 0.5340 0.7950 0.7390  2 I 2.06
13 O 0.7390 0.5340 0.7950  2 I 2.06
14 O 0.7390 0.9439 0.2050  2 I 2.06
15 O 0.7950 0.2610 0.0561  2 I 2.06
16 O 0.7950 0.7390 0.5340  2 I 2.06
17 O 0.9439 0.2050 0.7390  2 I 2.06

Output
Its space group is Im-3, No. 204. Its uncorrected formation energy is -54.1 kJ/mol of atoms.

7.
Below is a relaxed Ni2MoW crystal, with properties calculated at the PBE level.

Unit cell a=4.2680 b=4.2680 c=4.2680 alpha=60.00 beta=60.00 gamma=60.00
Closest atoms and distances in Å follow each position.
Fractional positions:
1 Ni 0.0000 0.0000 0.0000  4 Mo 2.61, 4 Ni 2.61
2 Ni 0.2500 0.2500 0.2500  4 W 2.61, 4 Ni 2.61
3 Mo 0.7500 0.7500 0.7500  4 W 2.61, 4 Ni 2.61
4 W 0.5000 0.5000 0.5000  4 Mo 2.61, 4 Ni 2.61

Output
Its space group is F-43m, No. 216. Its formation energy is 91 kJ/mol of formula units. As for the energy relative to the lowest polymorph listed for this composition: 0.2429 eV per atom.

8.
Below is a relaxed Sb2TeSeCl crystal, with properties calculated at the PBE level.

Unit cell a=5.5003 b=5.5003 c=5.4395 alpha=90.00 beta=90.00 gamma=90.00
Closest atoms and distances in Å follow each position.
Fractional positions:
1 Sb 0.0000 0.5000 0.0000  2 Se 2.75
2 Sb 0.5000 0.0000 0.0000  2 Se 2.75
3 Te 0.0000 0.0000 0.5000  2 Se 2.72
4 Se 0.0000 0.0000 0.0000  2 Te 2.72, 4 Sb 2.75
5 Cl 0.5000 0.5000 0.5000  8 Sb 3.87, 4 Te 3.89

Output
Its space group is P4/mmm, No. 123. As for the energy relative to the lowest polymorph listed for this composition: 0.0000 eV per atom. Its uncorrected formation energy is 51.9 kJ/mol of atoms.